# TiNb2Co2, optimized geometry, DFT PBE-GGA
# * spin magnetization: 0.00 μB/cell
# * density: 7.78 g cm⁻³
# * E: -8.56 eV/atom
data_TiNb2Co2
_space_group_name_H-M_alt 'P 4/m b m'
_space_group_IT_number 127
_space_group_name_Hall '-P 4 2ab'
_cell_length_a 6.930
_cell_length_b 6.930
_cell_length_c 3.125
_cell_angle_alpha 90.00
_cell_angle_beta 90.00
_cell_angle_gamma 90.00
loop_
_atom_site_label
_atom_site_fract_x
_atom_site_fract_y
_atom_site_fract_z
_atom_site_occupancy
Ti1 0.000 0.000 0.000 1
Nb1 0.176 0.324 0.500 1
Co1 0.126 0.626 0.000 1